Entry i
7
Lattice="4.809 0.000 1.502 2.170 4.292 1.502 -0.084 -0.052 8.717" Properties=species:S:1:pos:R:3 comment="Er4HgAu2, relaxed, DFT GGA-PBE" spacegroup=R-3m volume_a3_per_atom=25.809 n_ef_per_ev_atom=0.91 magmom_total_mub_per_cell=0.0 pbc="T T T"
Au 5.192 3.193 8.725
Au 1.703 1.047 2.997
Hg 0.000 0.000 0.000
Er 6.056 3.724 5.960
Er 0.839 0.516 5.762
Er 4.318 2.656 3.073
Er 2.576 1.584 8.649

=====

Entry ii
7
Lattice="4.797 0.000 0.000 2.398 4.154 0.000 2.398 1.385 9.664" Properties=species:S:1:pos:R:3 comment="Er4HgAu2, relaxed, DFT GGA-PBE" spacegroup=R-3m volume_a3_per_atom=27.509 n_ef_per_ev_atom=1.29 magmom_total_mub_per_cell=0.0 pbc="T T T"
Er 4.797 2.769 8.209
Er 2.398 1.385 3.802
Er 7.195 4.154 5.862
Er 4.797 2.769 1.455
Hg 0.000 0.000 0.000
Au 2.398 1.385 6.728
Au 7.195 4.154 2.936

=====

Question: which arrangement is favored energetically? Ranking from most to least stable: entry i, entry ii.